Sm4TmZn | GGA-PBE | optimized geometry

Summary:
Uncorrected energy: -4.10 eV per atom
Crystal system: monoclinic
Formation energy: 0.006 eV/atom
Spin magnetization: 0.0 μB/f.u.
Theoretical density: 7.63 g/cm3
SG: C2/c

```
Sm4TmZn
1.0
6.262 -0.674 0.000
-2.519 8.751 0.000
-1.871 -4.038 6.851
Sm Tm Zn
8 2 2
direct
0.043 0.167 0.776
0.763 0.713 0.633
0.233 0.609 0.776
0.370 0.919 0.633
0.630 0.081 0.367
0.767 0.391 0.224
0.237 0.287 0.367
0.957 0.833 0.224
0.344 0.594 0.187
0.656 0.406 0.813
0.250 0.000 0.001
0.750 0.000 0.999
```

---

Sm2TmZn3 | GGA-PBE | optimized geometry

Summary:
Uncorrected energy: -3.28 eV per atom
Crystal system: tetragonal
Formation energy: -0.323 eV/atom
Spin magnetization: 0.0 μB/f.u.
Theoretical density: 7.89 g/cm3
SG: P4/mmm

```
Sm2TmZn3
1.0
3.593 0.000 0.000
0.000 3.593 0.000
0.000 0.000 10.852
Sm Tm Zn
2 1 3
direct
0.500 0.500 0.830
0.500 0.500 0.170
0.500 0.500 0.500
0.000 0.000 0.000
0.000 0.000 0.655
0.000 0.000 0.345
```

---

Sm6TmZn2 | GGA-PBE | optimized geometry

Summary:
Uncorrected energy: -4.06 eV per atom
Crystal system: monoclinic
Formation energy: -0.136 eV/atom
Spin magnetization: 0.0 μB/f.u.
Theoretical density: 7.64 g/cm3
SG: C2/m

```
Sm6TmZn2
1.0
-1.910 1.827 2.556
-6.159 0.459 -2.286
-5.437 -8.966 4.991
Sm Tm Zn
6 1 2
direct
0.689 0.498 0.124
0.311 0.502 0.876
0.313 0.783 0.591
0.973 0.729 0.326
0.027 0.271 0.674
0.687 0.217 0.409
0.000 0.000 0.000
0.356 0.094 0.194
0.644 0.906 0.806
```

---

SmTmZn4 | GGA-PBE | optimized geometry

Summary:
Uncorrected energy: -2.74 eV per atom
Crystal system: orthorhombic
Formation energy: -0.362 eV/atom
Spin magnetization: 0.0 μB/f.u.
Theoretical density: 7.85 g/cm3
SG: Immm

```
SmTmZn4
1.0
-4.461 -0.494 -0.178
-2.393 -0.653 5.134
-2.833 4.887 0.781
Sm Tm Zn
1 1 4
direct
0.000 0.000 0.000
0.000 0.500 0.500
0.666 0.580 0.088
0.334 0.912 0.420
0.334 0.420 0.912
0.666 0.088 0.580
```